An optimized crystal structure of HgHNO2. Source: the Alexandria database, functional PBE.

Unit cell a=3.1070 b=3.1070 c=5.7826 alpha=90.00 beta=90.00 gamma=90.00
Last column: nearest neighbours and their distance in Å.
Space group P4/mmm (No. 123)
One atom of each set of equivalent atoms:
Hg 0.0000 0.0000 0.0000  4 N 2.20
H 0.0000 0.0000 0.5000  4 O 1.55
N 0.5000 0.5000 0.0000  4 Hg 2.20
O 0.0000 0.5000 0.5000  2 H 1.55

---

An optimized crystal structure of AcPr2Au. Source: the Alexandria database, functional PBE.

Calculated values
Excess energy over the best structure of this formula in the dataset: 37 meV/atom
Energy of formation: -0.3495 eV per atom

Unit cell a=3.8142 b=3.8142 c=9.0331 alpha=90.00 beta=90.00 gamma=90.00
Last column: nearest neighbours and their distance in Å.
Space group P4/mmm (No. 123)
One atom of each set of equivalent atoms:
Ac 0.0000 0.0000 0.0000  4 Ac 3.81, 8 Pr 3.83
Pr 0.5000 0.5000 0.3017  4 Au 3.24, 1 Pr 3.58
Au 0.0000 0.0000 0.5000  8 Pr 3.24

---

Number 1: M_tot 1.61 μB per formula unit, total energy -15.15 eV for the cell shown. Number 2: M_tot 0.00 μB per formula unit, total energy -18.34 eV for the cell shown.